Run P
! GGA-PBEsol ScReP, optimized geometry; values from VASP
&SYSTEM
  ibrav = 0, nat = 3, ntyp = 3
/
ATOMIC_SPECIES
P 30.97 P.upf
Re 186.21 Re.upf
Sc 44.96 Sc.upf
CELL_PARAMETERS angstrom
3.0830 0.0000 0.0000
0.0000 3.0830 0.0000
-1.5415 -1.5415 4.8838
ATOMIC_POSITIONS crystal
P 0.0283 0.0283 0.0566
Re 0.6352 0.6352 0.2705
Sc 0.3364 0.3364 0.6729
! total magnetic moment: 0.00 μB per cell
! V: 15.5 Å³/atom
! N(E_F): 0.6780 states/eV per atom
! crystal system: tetragonal

Run Q
! GGA-PBEsol ScReP, optimized geometry; values from VASP
&SYSTEM
  ibrav = 0, nat = 3, ntyp = 3
/
ATOMIC_SPECIES
Re 186.21 Re.upf
Sc 44.96 Sc.upf
P 30.97 P.upf
CELL_PARAMETERS angstrom
-3.3573 -0.3786 2.4550
0.3257 -1.9000 3.7048
-0.2742 2.2290 3.5212
ATOMIC_POSITIONS crystal
Re 0.7500 0.7500 0.7500
Sc 0.0000 0.0000 0.0000
P 0.5000 0.5000 0.5000
! total magnetic moment: 0.00 μB per cell
! V: 17.2 Å³/atom
! N(E_F): 0.8857 states/eV per atom
! crystal system: cubic

Run R
! GGA-PBEsol ScReP, optimized geometry; values from VASP
&SYSTEM
  ibrav = 0, nat = 3, ntyp = 3
/
ATOMIC_SPECIES
Re 186.21 Re.upf
Sc 44.96 Sc.upf
P 30.97 P.upf
CELL_PARAMETERS angstrom
-1.6020 -1.2612 -2.5833
3.0524 -1.0132 0.6980
-1.9841 -3.8385 3.1045
ATOMIC_POSITIONS crystal
Re 0.6667 0.3333 0.7239
Sc 0.3333 0.6667 0.3014
P 0.0000 0.0000 0.9747
! total magnetic moment: 0.00 μB per cell
! V: 16.6 Å³/atom
! N(E_F): 0.2421 states/eV per atom
! crystal system: trigonal

Tell me which of them is the least stable. Sure, it is run Q.

Run P
! GGA-PBEsol ReSiP, optimized geometry; values from VASP
&SYSTEM
  ibrav = 0, nat = 9, ntyp = 3
/
ATOMIC_SPECIES
Re 186.21 Re.upf
Si 28.09 Si.upf
P 30.97 P.upf
CELL_PARAMETERS angstrom
3.1524 0.0000 0.0000
0.0000 6.7826 0.0000
0.0000 -3.3913 5.8739
ATOMIC_POSITIONS crystal
Re 0.0000 0.7287 0.0000
Re 0.0000 0.2713 0.2713
Re 0.0000 0.0000 0.7287
Si 0.5000 0.0000 0.0000
Si 0.0000 0.3333 0.6667
Si 0.0000 0.6667 0.3333
P 0.5000 0.3617 0.0000
P 0.5000 0.6383 0.6383
P 0.5000 0.0000 0.3617
! total magnetic moment: 0.00 μB per cell
! V: 14.0 Å³/atom
! N(E_F): 0.5354 states/eV per atom
! crystal system: hexagonal

Run Q
! GGA-PBEsol ReSiP, optimized geometry; values from VASP
&SYSTEM
  ibrav = 0, nat = 3, ntyp = 3
/
ATOMIC_SPECIES
P 30.97 P.upf
Re 186.21 Re.upf
Si 28.09 Si.upf
CELL_PARAMETERS angstrom
2.9542 0.0000 0.0000
0.0000 4.0427 0.0000
0.0000 -2.0213 3.5011
ATOMIC_POSITIONS crystal
P 0.0000 0.0000 0.0000
Re 0.0000 0.3333 0.6667
Si 0.5000 0.6667 0.3333
! total magnetic moment: 0.00 μB per cell
! V: 13.9 Å³/atom
! N(E_F): 0.7576 states/eV per atom
! crystal system: hexagonal

Run R
! GGA-PBEsol ReSiP, optimized geometry; values from VASP
&SYSTEM
  ibrav = 0, nat = 3, ntyp = 3
/
ATOMIC_SPECIES
P 30.97 P.upf
Re 186.21 Re.upf
Si 28.09 Si.upf
CELL_PARAMETERS angstrom
4.0401 0.0000 0.0000
2.0200 3.4988 0.0000
2.0200 1.1663 3.2987
ATOMIC_POSITIONS crystal
P 0.5000 0.5000 0.5000
Re 0.2500 0.2500 0.2500
Si 0.0000 0.0000 0.0000
! total magnetic moment: 0.00 μB per cell
! V: 15.5 Å³/atom
! N(E_F): 0.7428 states/eV per atom
! crystal system: cubic

Tell me which of them is the least stable. Sure, it is run P.

Run P
! GGA-PBEsol TaReP, optimized geometry; values from VASP
&SYSTEM
  ibrav = 0, nat = 3, ntyp = 3
/
ATOMIC_SPECIES
P 30.97 P.upf
Ta 180.95 Ta.upf
Re 186.21 Re.upf
CELL_PARAMETERS angstrom
-1.3389 3.0982 -2.4386
-2.1809 -0.8542 -3.4427
-4.0600 0.9085 -0.1716
ATOMIC_POSITIONS crystal
P 0.5000 0.5000 0.5000
Ta 0.0000 0.0000 0.0000
Re 0.7500 0.7500 0.7500
! total magnetic moment: 0.00 μB per cell
! V: 17.0 Å³/atom
! N(E_F): 1.3226 states/eV per atom
! crystal system: cubic

Run Q
! GGA-PBEsol TaReP, optimized geometry; values from VASP
&SYSTEM
  ibrav = 0, nat = 3, ntyp = 3
/
ATOMIC_SPECIES
Re 186.21 Re.upf
Ta 180.95 Ta.upf
P 30.97 P.upf
CELL_PARAMETERS angstrom
2.9334 0.0000 0.0000
0.0000 2.9335 0.0000
-1.4667 -1.4668 5.0311
ATOMIC_POSITIONS crystal
Re 0.6405 0.6405 0.2811
Ta 0.3416 0.3416 0.6832
P 0.0179 0.0179 0.0358
! total magnetic moment: 0.00 μB per cell
! V: 14.4 Å³/atom
! N(E_F): 0.7707 states/eV per atom
! crystal system: tetragonal

Run R
! GGA-PBEsol TaReP, optimized geometry; values from VASP
&SYSTEM
  ibrav = 0, nat = 3, ntyp = 3
/
ATOMIC_SPECIES
P 30.97 P.upf
Ta 180.95 Ta.upf
Re 186.21 Re.upf
CELL_PARAMETERS angstrom
2.9093 0.0000 0.0000
-1.4546 2.5195 0.0000
0.0000 0.0000 6.0946
ATOMIC_POSITIONS crystal
P 0.0000 0.0000 0.9808
Ta 0.6667 0.3333 0.3213
Re 0.3333 0.6667 0.6979
! total magnetic moment: 0.00 μB per cell
! V: 14.9 Å³/atom
! N(E_F): 0.6883 states/eV per atom
! crystal system: trigonal

Tell me which of them is the least stable. Sure, it is run P.

Run P
! GGA-PBEsol Ta2ReP, optimized geometry; values from VASP
&SYSTEM
  ibrav = 0, nat = 4, ntyp = 3
/
ATOMIC_SPECIES
Ta 180.95 Ta.upf
P 30.97 P.upf
Re 186.21 Re.upf
CELL_PARAMETERS angstrom
2.9193 0.0000 0.0000
1.4597 2.5282 0.0000
1.4597 0.8427 8.5351
ATOMIC_POSITIONS crystal
Ta 0.7592 0.7592 0.7225
Ta 0.9957 0.9957 0.0129
P 0.5058 0.5058 0.4825
Re 0.2393 0.2393 0.2821
! total magnetic moment: 0.00 μB per cell
! V: 15.7 Å³/atom
! N(E_F): 0.9013 states/eV per atom
! crystal system: trigonal

Run Q
! GGA-PBEsol Ta2ReP, optimized geometry; values from VASP
&SYSTEM
  ibrav = 0, nat = 4, ntyp = 3
/
ATOMIC_SPECIES
Ta 180.95 Ta.upf
Re 186.21 Re.upf
P 30.97 P.upf
CELL_PARAMETERS angstrom
-0.1717 -3.1885 0.7490
2.4922 -0.8875 -3.2072
3.5856 0.4333 2.6663
ATOMIC_POSITIONS crystal
Ta 0.5000 0.0000 0.5000
Ta 0.0000 0.0000 0.0000
Re 0.0000 0.5000 0.5000
P 0.5000 0.5000 0.0000
! total magnetic moment: 0.00 μB per cell
! V: 15.3 Å³/atom
! N(E_F): 0.6229 states/eV per atom
! crystal system: orthorhombic

Tell me which of them is the least stable. Sure, it is run P.